! Hg3PClO4 | Alexandria | GGA-PBEsol | relaxed; values from VASP
&SYSTEM
  ibrav = 0, nat = 36, ntyp = 4
/
ATOMIC_SPECIES
Hg 200.59 Hg.upf
P 30.97 P.upf
Cl 35.45 Cl.upf
O 16.00 O.upf
ATOMIC_POSITIONS crystal
Hg 0.0493 0.3977 0.3503
Hg 0.1023 0.6497 0.5493
Hg 0.1497 0.9507 0.8977
Hg 0.3503 0.0493 0.3977
Hg 0.3977 0.3503 0.0493
Hg 0.4507 0.6023 0.8503
Hg 0.5493 0.1023 0.6497
Hg 0.6023 0.8503 0.4507
Hg 0.6497 0.5493 0.1023
Hg 0.8503 0.4507 0.6023
Hg 0.8977 0.1497 0.9507
Hg 0.9507 0.8977 0.1497
P 0.0230 0.5230 0.9770
P 0.4770 0.4770 0.4770
P 0.5230 0.9770 0.0230
P 0.9770 0.0230 0.5230
Cl 0.2294 0.7706 0.2706
Cl 0.2706 0.2294 0.7706
Cl 0.7294 0.7294 0.7294
Cl 0.7706 0.2706 0.2294
O 0.0843 0.9064 0.6253
O 0.0936 0.1253 0.4157
O 0.1253 0.4157 0.0936
O 0.1292 0.6292 0.8708
O 0.3708 0.3708 0.3708
O 0.3747 0.5843 0.5936
O 0.4064 0.8747 0.9157
O 0.4157 0.0936 0.1253
O 0.5843 0.5936 0.3747
O 0.5936 0.3747 0.5843
O 0.6253 0.0843 0.9064
O 0.6292 0.8708 0.1292
O 0.8708 0.1292 0.6292
O 0.8747 0.9157 0.4064
O 0.9064 0.6253 0.0843
O 0.9157 0.4064 0.8747
CELL_PARAMETERS angstrom
8.3393 0.0000 0.0000
0.0000 8.3393 0.0000
0.0000 0.0000 8.3393
! - Formation energy from raw total energies: -10.2 eV per formula unit
! - Mass density: 8.386 g cm⁻³

! HgPb2Cl2O2 | Alexandria | GGA-PBEsol | relaxed; values from VASP
&SYSTEM
  ibrav = 0, nat = 7, ntyp = 4
/
ATOMIC_SPECIES
Hg 200.59 Hg.upf
Pb 207.20 Pb.upf
Cl 35.45 Cl.upf
O 16.00 O.upf
ATOMIC_POSITIONS crystal
Hg 0.0000 0.0000 0.0000
Pb 0.1765 0.1765 0.7524
Pb 0.8235 0.8235 0.2476
Cl 0.4392 0.4392 0.6659
Cl 0.5608 0.5608 0.3341
O 0.1932 0.1932 0.0657
O 0.8068 0.8068 0.9343
CELL_PARAMETERS angstrom
5.9243 -1.9427 0.0000
5.9243 1.9427 0.0000
-4.3557 0.0000 6.5509
! - Formation energy from raw total energies: -6.8 eV per formula unit
! - Mass density: 7.906 g cm⁻³

! Rb3Hg2S3ClO12 | Alexandria | GGA-PBEsol | relaxed; values from VASP
&SYSTEM
  ibrav = 0, nat = 42, ntyp = 5
/
ATOMIC_SPECIES
Rb 85.47 Rb.upf
Hg 200.59 Hg.upf
S 32.06 S.upf
Cl 35.45 Cl.upf
O 16.00 O.upf
ATOMIC_POSITIONS crystal
Rb 0.0983 0.0000 0.2679
Rb 0.3196 0.3690 0.1317
Rb 0.3236 0.1951 0.6920
Rb 0.6764 0.6951 0.3080
Rb 0.6804 0.8690 0.8683
Rb 0.9017 0.5000 0.7321
Hg 0.2414 0.8222 0.9576
Hg 0.2658 0.6017 0.4953
Hg 0.7342 0.1017 0.5047
Hg 0.7586 0.3222 0.0424
S 0.0259 0.6522 0.1081
S 0.0923 0.8571 0.6080
S 0.4489 0.5402 0.8598
S 0.5511 0.0402 0.1402
S 0.9077 0.3571 0.3920
S 0.9741 0.1522 0.8919
Cl 0.4805 0.4453 0.4808
Cl 0.5195 0.9453 0.5192
O 0.0152 0.0045 0.9065
O 0.0165 0.6993 0.9578
O 0.0357 0.9974 0.5560
O 0.0476 0.2804 0.3617
O 0.1077 0.2319 0.8549
O 0.1326 0.7910 0.4832
O 0.2133 0.6747 0.2108
O 0.2670 0.8638 0.7343
O 0.2705 0.5328 0.7404
O 0.4088 0.0944 0.1867
O 0.4335 0.6152 0.9843
O 0.4918 0.3920 0.9089
O 0.5082 0.8920 0.0911
O 0.5665 0.1152 0.0157
O 0.5912 0.5944 0.8133
O 0.7295 0.0328 0.2596
O 0.7330 0.3638 0.2657
O 0.7867 0.1747 0.7892
O 0.8674 0.2910 0.5168
O 0.8923 0.7319 0.1451
O 0.9524 0.7804 0.6383
O 0.9643 0.4974 0.4440
O 0.9835 0.1993 0.0422
O 0.9848 0.5045 0.0935
CELL_PARAMETERS angstrom
7.9047 0.0000 0.0000
0.0000 9.8339 0.0000
-3.5904 0.0000 9.3066
! - Formation energy from raw total energies: -30.7 eV per formula unit
! - Mass density: 4.504 g cm⁻³

! SrHg2Cl2O2 | Alexandria | GGA-PBEsol | relaxed; values from VASP
&SYSTEM
  ibrav = 0, nat = 28, ntyp = 4
/
ATOMIC_SPECIES
Sr 87.62 Sr.upf
Hg 200.59 Hg.upf
Cl 35.45 Cl.upf
O 16.00 O.upf
ATOMIC_POSITIONS crystal
Sr 0.1518 0.1209 0.3741
Sr 0.1518 0.3791 0.8741
Sr 0.8482 0.6209 0.1259
Sr 0.8482 0.8791 0.6259
Hg 0.2302 0.5643 0.6033
Hg 0.2302 0.9357 0.1033
Hg 0.3962 0.6707 0.3688
Hg 0.3962 0.8293 0.8688
Hg 0.6038 0.1707 0.1312
Hg 0.6038 0.3293 0.6312
Hg 0.7698 0.0643 0.8967
Hg 0.7698 0.4357 0.3967
Cl 0.0896 0.1810 0.6234
Cl 0.0896 0.3190 0.1234
Cl 0.4575 0.6011 0.1162
Cl 0.4575 0.8989 0.6162
Cl 0.5425 0.1011 0.3838
Cl 0.5425 0.3989 0.8838
Cl 0.9104 0.6810 0.8766
Cl 0.9104 0.8190 0.3766
O 0.1482 0.6811 0.7304
O 0.1482 0.8189 0.2304
O 0.3241 0.0772 0.9927
O 0.3241 0.4228 0.4927
O 0.6759 0.5772 0.5073
O 0.6759 0.9228 0.0073
O 0.8518 0.1811 0.7696
O 0.8518 0.3189 0.2696
CELL_PARAMETERS angstrom
8.2656 0.0000 0.0000
0.0000 7.0260 0.0000
-6.1117 0.0000 9.7252
! - Formation energy from raw total energies: -9.0 eV per formula unit
! - Mass density: 6.959 g cm⁻³

! HgOsCl | Alexandria | GGA-PBEsol | relaxed; values from VASP
&SYSTEM
  ibrav = 0, nat = 3, ntyp = 3
/
ATOMIC_SPECIES
Hg 200.59 Hg.upf
Os 190.23 Os.upf
Cl 35.45 Cl.upf
ATOMIC_POSITIONS crystal
Hg 0.0000 0.0000 0.0000
Os 0.3350 0.3350 0.6650
Cl 0.7115 0.7115 0.2885
CELL_PARAMETERS angstrom
0.0000 2.6016 7.4993
1.4116 0.0000 7.4993
1.4116 2.6016 0.0000
! - Formation energy from raw total energies: 1.9 eV per formula unit
! - Mass density: 12.851 g cm⁻³

! HgP2OsCl | Alexandria | GGA-PBEsol | relaxed; values from VASP
&SYSTEM
  ibrav = 0, nat = 5, ntyp = 4
/
ATOMIC_SPECIES
Hg 200.59 Hg.upf
P 30.97 P.upf
Os 190.23 Os.upf
Cl 35.45 Cl.upf
ATOMIC_POSITIONS crystal
Hg 0.0000 0.0000 0.0000
P 0.0000 0.5000 0.5000
P 0.5000 0.0000 0.5000
Os 0.5000 0.5000 0.5000
Cl 0.5000 0.5000 0.0000
CELL_PARAMETERS angstrom
4.5045 0.0000 0.0000
0.0000 4.5045 0.0000
0.0000 0.0000 5.1161
! - Formation energy from raw total energies: 2.1 eV per formula unit
! - Mass density: 7.810 g cm⁻³

! HgOsS2Cl | Alexandria | GGA-PBEsol | relaxed; values from VASP
&SYSTEM
  ibrav = 0, nat = 5, ntyp = 4
/
ATOMIC_SPECIES
Hg 200.59 Hg.upf
Os 190.23 Os.upf
S 32.06 S.upf
Cl 35.45 Cl.upf
ATOMIC_POSITIONS crystal
Hg 0.0000 0.0000 0.0000
Os 0.5000 0.5000 0.5000
S 0.0000 0.5000 0.5000
S 0.5000 0.0000 0.5000
Cl 0.5000 0.5000 0.0000
CELL_PARAMETERS angstrom
4.5178 0.0000 0.0000
0.0000 4.5178 0.0000
0.0000 0.0000 4.9870
! - Formation energy from raw total energies: 1.3 eV per formula unit
! - Mass density: 8.000 g cm⁻³

! TiHgOs2Cl | Alexandria | GGA-PBEsol | relaxed; values from VASP
&SYSTEM
  ibrav = 0, nat = 5, ntyp = 4
/
ATOMIC_SPECIES
Ti 47.87 Ti.upf
Hg 200.59 Hg.upf
Os 190.23 Os.upf
Cl 35.45 Cl.upf
ATOMIC_POSITIONS crystal
Ti 0.0000 0.0000 0.0000
Hg 0.5000 0.5000 0.0000
Os 0.0000 0.5000 0.5000
Os 0.5000 0.0000 0.5000
Cl 0.0000 0.0000 0.5000
CELL_PARAMETERS angstrom
4.3814 0.0000 0.0000
0.0000 4.3814 0.0000
0.0000 0.0000 4.2918
! - Formation energy from raw total energies: 5.1 eV per formula unit
! - Mass density: 13.390 g cm⁻³